Entry 1:
DFT (GGA-PBE) results for TbCeEuCd after structural relaxation.

* symmetry: F-43m
* energy of formation: 0.048 eV/atom

Cell: 5.5106 5.5106 5.5106 Å, 60.00 60.00 60.00°
With the nearest neighbours (Å) after each atom.
Fractional coordinates of all 4 atoms:
Tb1 0.5000 0.5000 0.5000  4 Eu 3.37, 4 Cd 3.37
Eu1 0.2500 0.2500 0.2500  4 Ce 3.37, 4 Tb 3.37
Cd1 0.7500 0.7500 0.7500  4 Tb 3.37, 4 Ce 3.37
Ce1 0.0000 0.0000 0.0000  4 Cd 3.37, 4 Eu 3.37


Entry 2:
DFT (GGA-PBE) results for CeEuTmCd after structural relaxation.

* symmetry: F-43m
* energy of formation: 0.074 eV/atom

Cell: 5.5526 5.5526 5.5526 Å, 60.00 60.00 60.00°
With the nearest neighbours (Å) after each atom.
Fractional coordinates of all 4 atoms:
Ce1 0.0000 0.0000 0.0000  4 Cd 3.40, 4 Tm 3.40
Tm1 0.2500 0.2500 0.2500  4 Ce 3.40, 4 Eu 3.40
Cd1 0.7500 0.7500 0.7500  4 Ce 3.40, 4 Eu 3.40
Eu1 0.5000 0.5000 0.5000  4 Tm 3.40, 4 Cd 3.40